LiAgBF5, relaxed, DFT PBE; space-group type = C2/c (15); theoretical density = 3.59 g cm⁻³; formation energy from raw total energies = -2.4270 eV/atom
1.0
5.6863 0.2525 0.0433
-1.4184 5.5124 0.0433
-1.7261 -2.3315 6.4089
Li Ag B F
2 2 2 10
Direct
0.0000 0.0000 0.5000 Li
0.0000 0.0000 0.0000 Li
0.3247 0.6753 0.2500 Ag
0.6753 0.3247 0.7500 Ag
0.6777 0.3223 0.2500 B
0.3223 0.6777 0.7500 B
0.0729 0.9271 0.2500 F
0.9271 0.0729 0.7500 F
0.8565 0.3160 0.1420 F
0.1435 0.6840 0.8580 F
0.6840 0.1435 0.3580 F
0.3160 0.8565 0.6420 F
0.7341 0.5689 0.3938 F
0.2659 0.4311 0.6062 F
0.4311 0.2659 0.1062 F
0.5689 0.7341 0.8938 F

---

TlTe2RhI, relaxed, DFT PBE; offset from the most stable computed form = 1.1165 eV/atom; space-group type = P4/mmm (123); theoretical density = 5.74 g cm⁻³; formation energy from raw total energies = 1.1342 eV/atom
1.0
-0.3042 3.9925 -4.1052
-4.9554 -2.2439 -1.8151
-3.0375 3.6524 3.7771
I Tl Te Rh
1 1 2 1
Direct
0.0000 0.0000 0.5000 I
0.0000 0.0000 0.0000 Tl
0.0000 0.5000 0.0000 Te
0.5000 0.0000 0.0000 Te
0.5000 0.5000 0.5000 Rh

---

Ce4Nd3ThSe8, relaxed, DFT PBE; space-group type = R-3m (166); theoretical density = 7.30 g cm⁻³; formation energy from raw total energies = -1.7965 eV/atom
1.0
-5.0700 1.1228 6.6330
0.1484 -8.2835 1.5156
7.2160 4.3081 -0.5627
Ce Nd Th Se
4 3 1 8
Direct
0.5000 0.0000 0.0000 Ce
0.5000 0.0000 0.5000 Ce
0.0000 0.0000 0.0000 Ce
0.0000 0.0000 0.5000 Ce
0.5000 0.5000 0.0000 Nd
0.5000 0.5000 0.5000 Nd
0.0000 0.5000 0.5000 Nd
0.0000 0.5000 0.0000 Th
0.2505 0.7514 0.0010 Se
0.2505 0.7514 0.5010 Se
0.2492 0.2476 0.4984 Se
0.7505 0.7514 0.0010 Se
0.2495 0.2486 0.9990 Se
0.7508 0.7524 0.5016 Se
0.7495 0.2486 0.4990 Se
0.7495 0.2486 0.9990 Se

---

PuGaRu2C, relaxed, DFT PBE; space-group type = Cmcm (63); theoretical density = 10.90 g cm⁻³; formation energy = -181 meV/atom
1.0
-3.5148 -1.0817 1.4300
3.4715 -4.7816 -0.5279
2.4452 1.0260 6.7863
Pu Ga Ru C
2 2 4 2
Direct
0.4514 0.9028 0.7500 Pu
0.5486 0.0972 0.2500 Pu
0.7290 0.4580 0.7500 Ga
0.2710 0.5420 0.2500 Ga
0.1635 0.3270 0.9439 Ru
0.8365 0.6730 0.0561 Ru
0.1635 0.3270 0.5561 Ru
0.8365 0.6730 0.4439 Ru
0.0000 0.0000 0.0000 C
0.0000 0.0000 0.5000 C

---

Pt2CF, relaxed, DFT PBE; offset from the most stable computed form = 0.6926 eV/atom; space-group type = Fm-3m (225); theoretical density = 15.09 g cm⁻³; formation energy from raw total energies = 0.8617 eV/atom
1.0
0.0000 2.8510 2.8510
2.8510 0.0000 2.8510
2.8510 2.8510 0.0000
C Pt F
1 2 1
Direct
0.0000 0.0000 0.0000 C
0.2500 0.2500 0.2500 Pt
0.7500 0.7500 0.7500 Pt
0.5000 0.5000 0.5000 F

---

BaZr3Cd, relaxed, DFT PBE; offset from the most stable computed form = 0.7015 eV/atom; space-group type = Pm-3m (221); theoretical density = 5.85 g cm⁻³; formation energy = 1662 meV/atom
1.0
-3.9903 3.4766 0.2065
-2.1332 -2.6880 4.0344
2.7530 2.9563 3.4254
Ba Zr Cd
1 3 1
Direct
0.0000 0.0000 0.0000 Ba
0.0000 0.5000 0.0000 Zr
0.0000 0.0000 0.5000 Zr
0.5000 0.0000 0.0000 Zr
0.5000 0.5000 0.5000 Cd

---

Values for M_tot, μB per atom, ordered as above
0.000; 0.570; 0.215; 1.008; 0.000; 0.270
Values for Fermi-level density of states, states/eV per atom, ordered as above
0.00; 1.57; 1.69; 2.54; 0.54; 1.70